Compound: Pr2Sm4HoEr
Source: Alexandria
Functional: PBE
Structure: optimized geometry Values from VASP.

VASP energy, eV/atom: -4.679
Crystal system: monoclinic
Magnetic moment, Bohr magnetons per cell: 0.000
E_form, eV/atom: 0.02

Quantum ESPRESSO input file:
```
&SYSTEM
  ibrav = 0, nat = 8, ntyp = 4
/
ATOMIC_SPECIES
Pr 140.91 Pr.upf
Sm 150.36 Sm.upf
Ho 164.93 Ho.upf
Er 167.26 Er.upf
ATOMIC_POSITIONS angstrom
Pr 0.000 0.000 0.000
Pr 2.548 2.565 5.115
Sm -0.004 2.565 2.548
Sm 5.101 2.565 7.683
Sm 2.555 0.000 2.561
Sm 2.541 0.000 7.669
Ho -0.009 0.000 5.115
Er 2.558 2.565 0.000
CELL_PARAMETERS angstrom
5.115 0.000 0.000
0.000 5.131 0.000
-0.018 0.000 10.231
```

Compound: BaPa2GeS8
Source: Alexandria
Functional: PBE
Structure: optimized geometry Values from VASP.

VASP energy, eV/atom: -6.025
Crystal system: monoclinic
Magnetic moment, Bohr magnetons per cell: 0.000
Formation energy (no corrections), eV/atom: -1.145

Quantum ESPRESSO input file:
```
&SYSTEM
  ibrav = 0, nat = 12, ntyp = 4
/
ATOMIC_SPECIES
Ba 137.33 Ba.upf
Pa 231.04 Pa.upf
Ge 72.64 Ge.upf
S 32.06 S.upf
ATOMIC_POSITIONS angstrom
Ba 0.000 0.000 0.000
Pa 2.761 2.183 3.121
Pa 2.761 6.239 3.121
Ge 0.000 4.211 0.000
S 1.427 2.538 0.888
S 1.427 5.884 0.888
S 1.229 4.211 3.931
S 1.387 0.000 3.895
S 4.136 0.000 2.347
S 4.294 4.211 2.311
S 4.096 2.538 5.354
S 4.096 5.884 5.354
CELL_PARAMETERS angstrom
6.193 0.000 0.000
0.000 8.422 0.000
-0.671 0.000 6.242
```

Compound: Na3Hg2Se2Br3
Source: Alexandria
Functional: PBE
Structure: optimized geometry Values from VASP.

VASP energy, eV/atom: -2.551
Crystal system: tetragonal
Magnetic moment, Bohr magnetons per cell: 0.000
Formation energy (no corrections), eV/atom: -0.897

Quantum ESPRESSO input file:
```
&SYSTEM
  ibrav = 0, nat = 10, ntyp = 4
/
ATOMIC_SPECIES
Na 22.99 Na.upf
Hg 200.59 Hg.upf
Se 78.96 Se.upf
Br 79.90 Br.upf
ATOMIC_POSITIONS angstrom
Na 0.000 0.000 0.000
Na 0.000 0.000 12.792
Na 0.000 0.000 18.570
Hg 2.199 0.000 7.841
Hg 0.000 2.199 7.841
Se 0.000 0.000 9.538
Se 0.000 0.000 21.824
Br 0.000 0.000 3.011
Br 0.000 0.000 15.681
Br 0.000 0.000 28.351
CELL_PARAMETERS angstrom
-2.199 2.199 15.681
2.199 -2.199 15.681
2.199 2.199 -15.681
```

Compound: UAl10Fe2
Source: Alexandria
Functional: PBE
Structure: optimized geometry Values from VASP.

VASP energy, eV/atom: -5.315
Crystal system: orthorhombic
Magnetic moment, Bohr magnetons per cell: 4.461
E_form, eV/atom: -0.27

Quantum ESPRESSO input file:
```
&SYSTEM
  ibrav = 0, nat = 26, ntyp = 3
/
ATOMIC_SPECIES
U 238.03 U.upf
Al 26.98 Al.upf
Fe 55.84 Fe.upf
ATOMIC_POSITIONS angstrom
U 4.425 3.855 6.703
U 4.425 -3.855 2.234
Al 2.411 1.413 6.703
Al 4.425 3.487 0.872
Al 4.425 3.487 3.597
Al 3.086 1.312 2.234
Al 1.990 0.000 0.000
Al 1.990 0.000 4.469
Al 4.425 1.280 4.920
Al 4.425 1.280 8.487
Al 2.411 -1.413 2.234
Al 3.086 -1.312 6.703
Al 5.764 1.312 2.234
Al 6.439 1.413 6.703
Al 4.425 -1.280 0.451
Al 4.425 -1.280 4.018
Al 6.859 0.000 0.000
Al 6.859 0.000 4.469
Al 5.764 -1.312 6.703
Al 4.425 -3.487 5.341
Al 4.425 -3.487 8.065
Al 6.439 -1.413 2.234
Fe 2.212 2.544 0.000
Fe 2.212 2.544 4.469
Fe 2.212 -2.544 0.000
Fe 2.212 -2.544 4.469
CELL_PARAMETERS angstrom
4.425 -5.088 0.000
4.425 5.088 0.000
0.000 0.000 8.938
```

Compound: BaMnSi2Sn
Source: Alexandria
Functional: PBE
Structure: optimized geometry Values from VASP.

VASP energy, eV/atom: -5.187
Crystal system: tetragonal
Magnetic moment, Bohr magnetons per cell: 1.684
Formation energy (no corrections), eV/atom: 0.001

Quantum ESPRESSO input file:
```
&SYSTEM
  ibrav = 0, nat = 5, ntyp = 4
/
ATOMIC_SPECIES
Ba 137.33 Ba.upf
Mn 54.94 Mn.upf
Si 28.09 Si.upf
Sn 118.71 Sn.upf
ATOMIC_POSITIONS angstrom
Ba 0.000 0.000 0.000
Mn 2.327 2.327 2.510
Si 0.000 2.327 2.510
Si 2.327 0.000 2.510
Sn 2.327 2.327 0.000
CELL_PARAMETERS angstrom
4.653 0.000 0.000
0.000 4.653 0.000
0.000 0.000 5.020
```

Compound: PrHoIn4
Source: Alexandria
Functional: PBE
Structure: optimized geometry Values from VASP.

VASP energy, eV/atom: -3.817
Crystal system: monoclinic
E above lowest polymorph, kJ/mol of formula units: 0
Magnetic moment, Bohr magnetons per cell: 0.000
E_form, eV/atom: -0.43

Quantum ESPRESSO input file:
```
&SYSTEM
  ibrav = 0, nat = 6, ntyp = 3
/
ATOMIC_SPECIES
Pr 140.91 Pr.upf
Ho 164.93 Ho.upf
In 114.82 In.upf
ATOMIC_POSITIONS angstrom
Pr 0.000 0.000 0.000
Ho -0.003 0.000 3.607
In 2.513 1.452 1.917
In 2.510 1.452 5.297
In 2.513 -1.452 1.917
In 2.510 -1.452 5.297
CELL_PARAMETERS angstrom
2.514 -4.364 0.000
2.514 4.364 0.000
-0.006 0.000 7.214
```

Compound: La4Bi3S
Source: Alexandria
Functional: PBE
Structure: optimized geometry Values from VASP.

VASP energy, eV/atom: -5.714
Crystal system: monoclinic
Magnetic moment, Bohr magnetons per cell: 0.000
Formation energy (no corrections), eV/atom: -1.279

Quantum ESPRESSO input file:
```
&SYSTEM
  ibrav = 0, nat = 16, ntyp = 3
/
ATOMIC_SPECIES
La 138.91 La.upf
Bi 208.98 Bi.upf
S 32.06 S.upf
ATOMIC_POSITIONS angstrom
La 1.853 1.069 0.015
La 0.529 8.117 3.751
La 0.633 3.362 3.666
La -0.691 5.824 7.402
La 5.978 3.362 0.070
La 4.654 5.824 3.806
La 4.758 1.069 3.721
La 3.434 8.117 7.457
Bi -1.986 3.430 5.604
Bi -0.662 5.756 1.868
Bi 1.981 1.140 5.604
Bi 3.305 3.437 1.868
Bi 1.981 5.749 5.604
Bi 3.305 8.046 1.868
S -0.662 1.117 1.868
S -1.986 8.070 5.604
CELL_PARAMETERS angstrom
7.934 0.000 0.000
0.000 9.186 0.000
-2.648 0.000 7.472
```

Compound: NiBOs3
Source: Alexandria
Functional: PBE
Structure: optimized geometry Values from VASP.

VASP energy, eV/atom: -6.427
Crystal system: cubic
E above lowest polymorph, kJ/mol of formula units: 1099
Magnetic moment, Bohr magnetons per cell: 3.471
E_form, eV/atom: 2.80

Quantum ESPRESSO input file:
```
&SYSTEM
  ibrav = 0, nat = 5, ntyp = 3
/
ATOMIC_SPECIES
Ni 58.69 Ni.upf
B 10.81 B.upf
Os 190.23 Os.upf
ATOMIC_POSITIONS angstrom
Ni 0.000 0.000 0.000
B 2.197 2.197 2.197
Os 0.000 0.000 2.197
Os 0.000 2.197 0.000
Os 2.197 0.000 0.000
CELL_PARAMETERS angstrom
4.394 0.000 0.000
0.000 4.394 0.000
0.000 0.000 4.394
```

Compound: PuCdCuPt
Source: Alexandria
Functional: PBE
Structure: optimized geometry Values from VASP.

VASP energy, eV/atom: -6.609
Crystal system: cubic
Magnetic moment, Bohr magnetons per cell: 5.316
E_form, eV/atom: -0.26

Quantum ESPRESSO input file:
```
&SYSTEM
  ibrav = 0, nat = 4, ntyp = 4
/
ATOMIC_SPECIES
Pu 244.00 Pu.upf
Cd 112.41 Cd.upf
Cu 63.55 Cu.upf
Pt 195.08 Pt.upf
ATOMIC_POSITIONS angstrom
Pu 0.000 0.000 0.000
Cd 3.406 3.406 3.406
Cu 1.703 1.703 1.703
Pt 5.109 5.109 5.109
CELL_PARAMETERS angstrom
0.000 3.406 3.406
3.406 0.000 3.406
3.406 3.406 0.000
```

Compound: NdThOsRu
Source: Alexandria
Functional: PBE
Structure: optimized geometry Values from VASP.

VASP energy, eV/atom: -8.301
Crystal system: cubic
Magnetic moment, Bohr magnetons per cell: 0.000
E_form, eV/atom: -0.13

Quantum ESPRESSO input file:
```
&SYSTEM
  ibrav = 0, nat = 4, ntyp = 4
/
ATOMIC_SPECIES
Nd 144.24 Nd.upf
Th 232.04 Th.upf
Os 190.23 Os.upf
Ru 101.07 Ru.upf
ATOMIC_POSITIONS angstrom
Nd 0.000 0.000 0.000
Th 3.541 3.541 3.541
Os 5.312 5.312 5.312
Ru 1.771 1.771 1.771
CELL_PARAMETERS angstrom
0.000 3.541 3.541
3.541 0.000 3.541
3.541 3.541 0.000
```

Compound: PaFeGeRu
Source: Alexandria
Functional: PBE
Structure: optimized geometry Values from VASP.

VASP energy, eV/atom: -8.188
Crystal system: cubic
Magnetic moment, Bohr magnetons per cell: 1.102
E_form, eV/atom: -0.23

Quantum ESPRESSO input file:
```
&SYSTEM
  ibrav = 0, nat = 4, ntyp = 4
/
ATOMIC_SPECIES
Pa 231.04 Pa.upf
Fe 55.84 Fe.upf
Ge 72.64 Ge.upf
Ru 101.07 Ru.upf
ATOMIC_POSITIONS angstrom
Pa 0.000 0.000 0.000
Fe 1.609 1.609 1.609
Ge 3.218 3.218 3.218
Ru 4.828 4.828 4.828
CELL_PARAMETERS angstrom
0.000 3.218 3.218
3.218 0.000 3.218
3.218 3.218 0.000
```

Compound: Pm2Sm2Al
Source: Alexandria
Functional: PBE
Structure: optimized geometry Values from VASP.

VASP energy, eV/atom: -4.142
Crystal system: tetragonal
Magnetic moment, Bohr magnetons per cell: 0.001
E_form, eV/atom: 0.39

Quantum ESPRESSO input file:
```
&SYSTEM
  ibrav = 0, nat = 5, ntyp = 3
/
ATOMIC_SPECIES
Pm 145.00 Pm.upf
Sm 150.36 Sm.upf
Al 26.98 Al.upf
ATOMIC_POSITIONS angstrom
Pm 2.160 0.000 4.466
Pm 0.000 2.160 4.466
Sm 0.000 0.000 1.502
Sm 0.000 0.000 16.362
Al 0.000 0.000 8.932
CELL_PARAMETERS angstrom
-2.160 2.160 8.932
2.160 -2.160 8.932
2.160 2.160 -8.932
```

Question: The highest magnetic moment belongs to which entry?
Answer: PuCdCuPt

Question: Among the records above, which one has the highest VASP energy?
Answer: Na3Hg2Se2Br3

Question: What is the VASP energy in the third record?
Answer: -2.551 eV/atom

Please write out number 8 again, unchanged.
Compound: NiBOs3
Source: Alexandria
Functional: PBE
Structure: optimized geometry Values from VASP.

VASP energy, eV/atom: -6.427
Crystal system: cubic
E above lowest polymorph, kJ/mol of formula units: 1099
Magnetic moment, Bohr magnetons per cell: 3.471
E_form, eV/atom: 2.80

Quantum ESPRESSO input file:
```
&SYSTEM
  ibrav = 0, nat = 5, ntyp = 3
/
ATOMIC_SPECIES
Ni 58.69 Ni.upf
B 10.81 B.upf
Os 190.23 Os.upf
ATOMIC_POSITIONS angstrom
Ni 0.000 0.000 0.000
B 2.197 2.197 2.197
Os 0.000 0.000 2.197
Os 0.000 2.197 0.000
Os 2.197 0.000 0.000
CELL_PARAMETERS angstrom
4.394 0.000 0.000
0.000 4.394 0.000
0.000 0.000 4.394
```